This record from the Alexandria database describes a relaxed NiPtAu crystal. The functional is PBE.

Calculated values
volume = 15.0 Å³ per atom
ΔE to the lowest computed polymorph = 23.1 meV/atom
Fermi-level density of states = 1.24 states/eV per atom
DFT formation energy = 0.054 eV/atom

The structure in CIF format:
```
data_NiPtAu
_space_group_name_H-M_alt 'C 1 2/m 1'
_space_group_IT_number 12
_cell_length_a 4.6703
_cell_length_b 8.5496
_cell_length_c 4.6818
_cell_angle_alpha 90.00
_cell_angle_beta 105.42
_cell_angle_gamma 90.00
loop_
_space_group_symop_operation_xyz
'x,y,z'
'-x,-y,-z'
'-x,y,-z'
'x,-y,z'
'x+1/2,y+1/2,z'
'-x+1/2,-y+1/2,-z'
'-x+1/2,y+1/2,-z'
'x+1/2,-y+1/2,z'
loop_
_atom_site_label
_atom_site_fract_x
_atom_site_fract_y
_atom_site_fract_z
Ni1 0.0000 0.0000 0.0000
Ni2 0.0000 0.5000 0.5000
Pt1 0.0000 0.1569 0.5000
Au1 0.0000 0.3388 0.0000
```

This record from the Alexandria database describes a relaxed NiPtAu crystal. The functional is PBE.

Calculated values
volume = 15.0 Å³ per atom
ΔE to the lowest computed polymorph = 20.2 meV/atom
Fermi-level density of states = 1.43 states/eV per atom
DFT formation energy = 0.051 eV/atom

The structure in CIF format:
```
data_NiPtAu
_space_group_name_H-M_alt 'C 1 m 1'
_space_group_IT_number 8
_cell_length_a 14.1168
_cell_length_b 2.8040
_cell_length_c 4.7673
_cell_angle_alpha 90.00
_cell_angle_beta 107.25
_cell_angle_gamma 90.00
loop_
_space_group_symop_operation_xyz
'x,y,z'
'x,-y,z'
'x+1/2,y+1/2,z'
'x+1/2,-y+1/2,z'
loop_
_atom_site_label
_atom_site_fract_x
_atom_site_fract_y
_atom_site_fract_z
Ni1 0.0000 0.0000 0.0000
Ni2 0.1719 0.0000 0.5278
Pt1 0.0120 0.5000 0.5016
Pt2 0.3378 0.5000 0.5219
Au1 0.1614 0.5000 0.0333
Au2 0.3382 0.0000 0.0169
```

This record from the Alexandria database describes a relaxed NiPt2Au crystal. The functional is PBE.

Calculated values
volume = 15.4 Å³ per atom
ΔE to the lowest computed polymorph = 181.0 meV/atom
Fermi-level density of states = 1.40 states/eV per atom
DFT formation energy = 0.138 eV/atom

The structure in CIF format:
```
data_NiPt2Au
_space_group_name_H-M_alt 'F -4 3 m'
_space_group_IT_number 216
_space_group_name_Hall 'F -4 2 3'
_cell_length_a 6.2713
_cell_length_b 6.2713
_cell_length_c 6.2713
_cell_angle_alpha 90.00
_cell_angle_beta 90.00
_cell_angle_gamma 90.00
loop_
_atom_site_label
_atom_site_fract_x
_atom_site_fract_y
_atom_site_fract_z
Ni1 0.0000 0.0000 0.0000
Pt1 0.0000 0.0000 0.5000
Pt2 0.2500 0.2500 0.7500
Au1 0.2500 0.2500 0.2500
```

This record from the Alexandria database describes a relaxed Ni2PtAu crystal. The functional is PBE.

Calculated values
volume = 13.9 Å³ per atom
ΔE to the lowest computed polymorph = 76.2 meV/atom
Fermi-level density of states = 1.08 states/eV per atom
DFT formation energy = 0.071 eV/atom

The structure in CIF format:
```
data_Ni2PtAu
_space_group_name_H-M_alt 'F m -3 m'
_space_group_IT_number 225
_space_group_name_Hall '-F 4 2 3'
_cell_length_a 6.0649
_cell_length_b 6.0649
_cell_length_c 6.0649
_cell_angle_alpha 90.00
_cell_angle_beta 90.00
_cell_angle_gamma 90.00
loop_
_atom_site_label
_atom_site_fract_x
_atom_site_fract_y
_atom_site_fract_z
Ni1 0.2500 0.2500 0.2500
Pt1 0.0000 0.0000 0.0000
Au1 0.0000 0.0000 0.5000
```

This record from the Alexandria database describes a relaxed Ni4PtAu crystal. The functional is PBE.

Calculated values
volume = 12.8 Å³ per atom
Fermi-level density of states = 2.02 states/eV per atom
DFT formation energy = 0.070 eV/atom

The structure in CIF format:
```
data_Ni4PtAu
_space_group_name_H-M_alt 'F -4 3 m'
_space_group_IT_number 216
_space_group_name_Hall 'F -4 2 3'
_cell_length_a 6.7502
_cell_length_b 6.7502
_cell_length_c 6.7502
_cell_angle_alpha 90.00
_cell_angle_beta 90.00
_cell_angle_gamma 90.00
loop_
_atom_site_label
_atom_site_fract_x
_atom_site_fract_y
_atom_site_fract_z
Ni1 0.1247 0.1247 0.1247
Pt1 0.2500 0.2500 0.7500
Au1 0.0000 0.0000 0.5000
```

This record from the Alexandria database describes a relaxed NiPt2Au crystal. The functional is PBE.

Calculated values
volume = 15.2 Å³ per atom
ΔE to the lowest computed polymorph = 89.7 meV/atom
Fermi-level density of states = 1.37 states/eV per atom
DFT formation energy = 0.047 eV/atom

The structure in CIF format:
```
data_NiPt2Au
_space_group_name_H-M_alt 'P 4/m m m'
_space_group_IT_number 123
_space_group_name_Hall '-P 4 2'
_cell_length_a 3.9083
_cell_length_b 3.9083
_cell_length_c 3.9912
_cell_angle_alpha 90.00
_cell_angle_beta 90.00
_cell_angle_gamma 90.00
loop_
_atom_site_label
_atom_site_fract_x
_atom_site_fract_y
_atom_site_fract_z
Ni1 0.0000 0.0000 0.0000
Pt1 0.0000 0.5000 0.5000
Au1 0.5000 0.5000 0.0000
```

This record from the Alexandria database describes a relaxed NiPt2Au crystal. The functional is PBE.

Calculated values
volume = 16.6 Å³ per atom
ΔE to the lowest computed polymorph = 346.3 meV/atom
Fermi-level density of states = 1.34 states/eV per atom
DFT formation energy = 0.304 eV/atom

The structure in CIF format:
```
data_NiPt2Au
_space_group_name_H-M_alt 'I -4 2 d'
_space_group_IT_number 122
_space_group_name_Hall 'I -4 2bw'
_cell_length_a 3.7873
_cell_length_b 3.7873
_cell_length_c 18.5328
_cell_angle_alpha 90.00
_cell_angle_beta 90.00
_cell_angle_gamma 90.00
loop_
_atom_site_label
_atom_site_fract_x
_atom_site_fract_y
_atom_site_fract_z
Ni1 0.0000 0.0000 0.0000
Pt1 0.2396 0.2500 0.1250
Au1 0.0000 0.0000 0.5000
```

This record from the Alexandria database describes a relaxed NiPt2Au crystal. The functional is PBE.

Calculated values
volume = 15.4 Å³ per atom
ΔE to the lowest computed polymorph = 137.2 meV/atom
Fermi-level density of states = 1.20 states/eV per atom
DFT formation energy = 0.094 eV/atom

The structure in CIF format:
```
data_NiPt2Au
_space_group_name_H-M_alt 'I m m 2'
_space_group_IT_number 44
_cell_length_a 2.7971
_cell_length_b 4.7098
_cell_length_c 9.3447
_cell_angle_alpha 90.00
_cell_angle_beta 90.00
_cell_angle_gamma 90.00
loop_
_space_group_symop_operation_xyz
'x,y,z'
'-x,-y,z'
'-x,y,z'
'x,-y,z'
'x+1/2,y+1/2,z+1/2'
'-x+1/2,-y+1/2,z+1/2'
'-x+1/2,y+1/2,z+1/2'
'x+1/2,-y+1/2,z+1/2'
loop_
_atom_site_label
_atom_site_fract_x
_atom_site_fract_y
_atom_site_fract_z
Ni1 0.0000 0.0000 0.0000
Pt1 0.0000 0.0000 0.4871
Pt2 0.0000 0.5000 0.7301
Au1 0.0000 0.5000 0.2554
```

This record from the Alexandria database describes a relaxed Ni2PtAu2 crystal. The functional is PBE.

Calculated values
volume = 15.4 Å³ per atom
ΔE to the lowest computed polymorph = 75.5 meV/atom
Fermi-level density of states = 1.68 states/eV per atom
DFT formation energy = 0.284 eV/atom

The structure in CIF format:
```
data_Ni2PtAu2
_space_group_name_H-M_alt 'P 4/m b m'
_space_group_IT_number 127
_space_group_name_Hall '-P 4 2ab'
_cell_length_a 7.3501
_cell_length_b 7.3501
_cell_length_c 2.8493
_cell_angle_alpha 90.00
_cell_angle_beta 90.00
_cell_angle_gamma 90.00
loop_
_atom_site_label
_atom_site_fract_x
_atom_site_fract_y
_atom_site_fract_z
Ni1 0.1612 0.3388 0.0000
Pt1 0.0000 0.0000 0.5000
Au1 0.1375 0.6375 0.5000
```

This record from the Alexandria database describes a relaxed NiPt2Au crystal. The functional is PBE.

Calculated values
volume = 15.3 Å³ per atom
ΔE to the lowest computed polymorph = 101.6 meV/atom
Fermi-level density of states = 1.43 states/eV per atom
DFT formation energy = 0.059 eV/atom

The structure in CIF format:
```
data_NiPt2Au
_space_group_name_H-M_alt 'C 1 m 1'
_space_group_IT_number 8
_cell_length_a 9.1636
_cell_length_b 2.8249
_cell_length_c 4.8257
_cell_angle_alpha 90.00
_cell_angle_beta 101.52
_cell_angle_gamma 90.00
loop_
_space_group_symop_operation_xyz
'x,y,z'
'x,-y,z'
'x+1/2,y+1/2,z'
'x+1/2,-y+1/2,z'
loop_
_atom_site_label
_atom_site_fract_x
_atom_site_fract_y
_atom_site_fract_z
Ni1 0.0000 0.0000 0.0000
Pt1 0.2383 0.5000 0.2380
Pt2 0.4915 0.0000 0.4803
Au1 0.2510 0.0000 0.7520
```

This record from the Alexandria database describes a relaxed NiPt2Au crystal. The functional is PBE.

Calculated values
volume = 15.3 Å³ per atom
ΔE to the lowest computed polymorph = 73.0 meV/atom
Fermi-level density of states = 1.10 states/eV per atom
DFT formation energy = 0.030 eV/atom

The structure in CIF format:
```
data_NiPt2Au
_space_group_name_H-M_alt 'I m m m'
_space_group_IT_number 71
_space_group_name_Hall '-I 2 2'
_cell_length_a 2.7762
_cell_length_b 4.6955
_cell_length_c 9.4014
_cell_angle_alpha 90.00
_cell_angle_beta 90.00
_cell_angle_gamma 90.00
loop_
_atom_site_label
_atom_site_fract_x
_atom_site_fract_y
_atom_site_fract_z
Ni1 0.0000 0.0000 0.0000
Pt1 0.0000 0.5000 0.2663
Au1 0.0000 0.0000 0.5000
```

This record from the Alexandria database describes a relaxed Ni2PtAu crystal. The functional is PBE.

Calculated values
volume = 14.0 Å³ per atom
ΔE to the lowest computed polymorph = 37.7 meV/atom
Fermi-level density of states = 1.48 states/eV per atom
DFT formation energy = 0.033 eV/atom

The structure in CIF format:
```
data_Ni2PtAu
_space_group_name_H-M_alt 'I 4/m m m'
_space_group_IT_number 139
_space_group_name_Hall '-I 4 2'
_cell_length_a 3.9414
_cell_length_b 3.9414
_cell_length_c 7.1961
_cell_angle_alpha 90.00
_cell_angle_beta 90.00
_cell_angle_gamma 90.00
loop_
_atom_site_label
_atom_site_fract_x
_atom_site_fract_y
_atom_site_fract_z
Ni1 0.0000 0.5000 0.2500
Pt1 0.0000 0.0000 0.0000
Au1 0.0000 0.0000 0.5000
```